1.
A relaxed LaBeOs4 crystal, computed with GGA-PBEsol.

Values from the calculation:
Final energy, eV/atom: -9.1596
Energy of formation from the pure elements, kJ/mol of formula units: 314

Cell: 5.257 5.257 5.257 Å, 60.00 60.00 60.00°
Sites, in units of the cell vectors:
Os (0.872, 0.376, 0.376)
Os (0.376, 0.872, 0.376)
Os (0.376, 0.376, 0.376)
Os (0.376, 0.376, 0.872)
Be (0.750, 0.750, 0.750)
La (0.000, 0.000, 0.000)



2.
A relaxed Cu2TcBr crystal, computed with GGA-PBEsol.

Values from the calculation:
Formation energy from raw total energies, eV per atom: 0.8650
Final energy, eV/atom: -4.5861
Energy above the most stable polymorph in this dataset, meV/atom: 261

Cell: 4.296 4.296 4.296 Å, 60.00 60.00 60.00°
Sites, in units of the cell vectors:
Cu (0.000, 0.000, 0.000)
Cu (0.750, 0.750, 0.750)
Tc (0.250, 0.250, 0.250)
Br (0.500, 0.500, 0.500)



3.
A relaxed GeI2NO crystal, computed with GGA-PBEsol.

Values from the calculation:
Formation energy from raw total energies, eV per atom: 1.2094
Final energy, eV/atom: -3.2403

Cell: 3.867 5.055 5.055 Å, 90.00 90.00 90.00°
Sites, in units of the cell vectors:
Ge (0.500, 0.500, 0.500)
I (0.000, 0.500, 0.000)
I (0.000, 0.000, 0.500)
O (0.000, 0.000, 0.000)
N (0.500, 0.000, 0.000)



4.
A relaxed Sr2MgCo crystal, computed with GGA-PBEsol.

Values from the calculation:
Final energy, eV/atom: -2.7334
Energy of formation from the pure elements, kJ/mol of formula units: 212

Cell: 5.259 5.259 5.259 Å, 60.00 60.00 60.00°
Sites, in units of the cell vectors:
Sr (0.750, 0.750, 0.750)
Sr (0.000, 0.000, 0.000)
Mg (0.250, 0.250, 0.250)
Co (0.500, 0.500, 0.500)



5.
A relaxed CaMnTe2 crystal, computed with GGA-PBEsol.

Values from the calculation:
Formation energy from raw total energies, eV per atom: -0.7232
Final energy, eV/atom: -5.4598
Energy above the most stable polymorph in this dataset, meV/atom: 22

Cell: 4.242 4.242 7.399 Å, 73.34 73.34 60.00°
Sites, in units of the cell vectors:
Te (0.740, 0.740, 0.779)
Te (0.260, 0.260, 0.221)
Mn (0.000, 0.000, 0.000)
Ca (0.500, 0.500, 0.500)



6.
A relaxed K5Ag crystal, computed with GGA-PBEsol.

Values from the calculation:
Final energy, eV/atom: -1.4179
Energy above the most stable polymorph in this dataset, meV/atom: 0
Energy of formation from the pure elements, kJ/mol of formula units: 45

Cell: 4.275 4.275 17.955 Å, 90.00 90.00 90.00°
Sites, in units of the cell vectors:
K (0.000, 0.000, 0.500)
K (0.000, 0.000, 0.897)
K (0.500, 0.500, 0.302)
K (0.000, 0.000, 0.103)
K (0.500, 0.500, 0.698)
Ag (0.500, 0.500, 0.000)